# RbCaO2, relaxed, DFT PBE
# * D(E_F): 1.386 states/eV/atom
# * total energy: -4.514 eV/atom
# * uncorrected formation energy: -1.293 eV/atom
data_RbCaO2
_cell_length_a 6.362
_cell_length_b 6.362
_cell_length_c 6.362
_cell_angle_alpha 90.00
_cell_angle_beta 90.00
_cell_angle_gamma 90.00
_symmetry_space_group_name_H-M 'F m -3 m'
_symmetry_Int_Tables_number 225
_symmetry_space_group_name_Hall '-F 4 2 3'
loop_
_atom_site_label
_atom_site_fract_x
_atom_site_fract_y
_atom_site_fract_z
Rb1 0.000 0.000 0.000
Ca1 0.000 0.000 0.500
O1 0.250 0.250 0.250

***

# Na2CaAlSe4, relaxed, DFT PBE
# * D(E_F): 1.380 states/eV/atom
# * total energy: -3.839 eV/atom
# * uncorrected formation energy: -1.049 eV/atom
data_Na2CaAlSe4
_cell_length_a 7.714
_cell_length_b 7.714
_cell_length_c 7.328
_cell_angle_alpha 90.00
_cell_angle_beta 90.00
_cell_angle_gamma 90.00
_symmetry_space_group_name_H-M 'I -4 2 m'
_symmetry_Int_Tables_number 121
_symmetry_space_group_name_Hall 'I -4 2'
loop_
_atom_site_label
_atom_site_fract_x
_atom_site_fract_y
_atom_site_fract_z
Na1 0.000 0.500 0.250
Ca1 0.000 0.000 0.000
Al1 0.000 0.000 0.500
Se1 0.179 0.179 0.693

***

# TaAlHg2, relaxed, DFT PBE
# * D(E_F): 0.612 states/eV/atom
# * energy relative to the elements: 0.331 eV per atom
# * total energy: -3.718 eV/atom
data_TaAlHg2
_cell_length_a 10.445
_cell_length_b 3.017
_cell_length_c 5.148
_cell_angle_alpha 90.00
_cell_angle_beta 105.68
_cell_angle_gamma 90.00
_symmetry_space_group_name_H-M 'C 1 2/m 1'
_symmetry_Int_Tables_number 12
loop_
_symmetry_equiv_pos_as_xyz
'x,y,z'
'-x,-y,-z'
'-x,y,-z'
'x,-y,z'
'x+1/2,y+1/2,z'
'-x+1/2,-y+1/2,-z'
'-x+1/2,y+1/2,-z'
'x+1/2,-y+1/2,z'
loop_
_atom_site_label
_atom_site_fract_x
_atom_site_fract_y
_atom_site_fract_z
Ta1 0.000 0.000 0.000
Al1 0.000 0.500 0.500
Hg1 0.246 0.000 0.750

***

# La2TiBiN, relaxed, DFT PBE
# * D(E_F): 0.602 states/eV/atom
# * total energy: -6.892 eV/atom
# * uncorrected formation energy: -0.901 eV/atom
data_La2TiBiN
_cell_length_a 5.342
_cell_length_b 5.342
_cell_length_c 4.162
_cell_angle_alpha 90.00
_cell_angle_beta 90.00
_cell_angle_gamma 90.00
_symmetry_space_group_name_H-M 'P 4/m m m'
_symmetry_Int_Tables_number 123
_symmetry_space_group_name_Hall '-P 4 2'
loop_
_atom_site_label
_atom_site_fract_x
_atom_site_fract_y
_atom_site_fract_z
La1 0.000 0.500 0.000
Ti1 0.000 0.000 0.500
Bi1 0.500 0.500 0.500
N1 0.000 0.000 0.000

***

- What is the total energy in the first record?
  -4.514 eV/atom